First-principles (GGA-PBEsol) data for a relaxed Li4FeSi2O7 crystal, as listed in Alexandria.

Raw formation energy (eV/atom): -2.291
N(E_F) (states/eV/f.u.): 5.5

Lattice parameters (Å, degrees): 13.1762 5.3781 7.9885 90.00 94.69 90.00
Space group Cc (No. 9)
Symmetry-distinct sites (fractional):
Li 0.0000 0.1491 0.0000 (multiplicity 4)
Li 0.0702 0.3253 0.3531 (multiplicity 4)
Li 0.2025 0.3378 0.0687 (multiplicity 4)
Li 0.2756 0.1826 0.4217 (multiplicity 4)
Fe 0.4289 0.1642 0.1493 (multiplicity 4)
Si 0.1409 0.1709 0.7067 (multiplicity 4)
Si 0.3522 0.3296 0.7751 (multiplicity 4)
O 0.0527 0.3153 0.8058 (multiplicity 4)
O 0.1133 0.1185 0.1739 (multiplicity 4)
O 0.1690 0.3186 0.5405 (multiplicity 4)
O 0.2491 0.1855 0.8433 (multiplicity 4)
O 0.3236 0.3784 0.2373 (multiplicity 4)
O 0.3879 0.1855 0.6083 (multiplicity 4)
O 0.4425 0.3109 0.9272 (multiplicity 4)